Here is a relaxed LuRuPb crystal from Alexandria via LeMat-Bulk. Energies are from PBE-GGA.

a b c (Å): 3.3405 3.3405 11.6105
angles (deg): 90.00 90.00 90.00
Space group I4mm (No. 107)
Symmetry-distinct sites (fractional):
Lu: 0.0000 0.0000 0.0000 [2 per cell]
Ru: 0.0000 0.0000 0.3582 [2 per cell]
Pb: 0.0000 0.0000 0.7141 [2 per cell]

Values from the calculation:
VASP energy in eV/cell: -36.06

---

Here is a relaxed K3TlF6 crystal from Alexandria via LeMat-Bulk. Energies are from PBE-GGA.

a b c (Å): 6.3782 6.6460 11.0549
angles (deg): 90.00 124.56 90.00
Space group P2_1/c (No. 14)
Symmetry-distinct sites (fractional):
K: 0.0000 0.0000 0.0000 [2 per cell]
K: 0.2267 0.0544 0.7445 [4 per cell]
Tl: 0.5000 0.0000 0.5000 [2 per cell]
F: 0.1696 0.1801 0.4487 [4 per cell]
F: 0.2531 0.7304 0.4256 [4 per cell]
F: 0.3935 0.0612 0.2755 [4 per cell]

Values from the calculation:
ΔE_f (raw) in eV per atom: -2.48

---

Total magnetization values, unit μB/f.u., following the record order: 0.000; 0.119.